CdGa3Ni: relaxed, PBE-GGA.

It has space group Pm-3m (No. 221), with a = 5.069 Å, b = 5.069 Å, c = 5.069 Å, α = 90.00°, β = 90.00° and γ = 90.00°. The distinct sites, in fractional coordinates, are Cd at (0.000, 0.000, 0.000), Ga at (0.000, 0.000, 0.500) and Ni at (0.500, 0.500, 0.500).

The formation energy from the elements comes out at 0.960 eV/atom.

---

Ac4SnRu2: relaxed, PBE-GGA.

It has space group F222 (No. 22), with a = 9.791 Å, b = 14.088 Å, c = 14.113 Å, α = 90.00°, β = 90.00° and γ = 90.00°. The distinct sites, in fractional coordinates, are Ac at (0.087, 0.159, 0.159), Ac at (0.163, 0.091, 0.591), Sn at (0.000, 0.000, 0.000), Sn at (0.250, 0.250, 0.750) and Ru at (0.125, 0.125, 0.375).

The formation energy from the elements comes out at -0.122 eV/atom.

---

Pm5SmTl8: relaxed, PBE-GGA.

It has space group I-4 (No. 82), with a = 9.464 Å, b = 9.464 Å, c = 9.440 Å, α = 90.00°, β = 90.00° and γ = 90.00°. The distinct sites, in fractional coordinates, are Pm at (0.000, 0.000, 0.000), Pm at (0.124, 0.248, 0.625), Sm at (0.000, 0.500, 0.250), Tl at (0.081, 0.333, 0.958) and Tl at (0.083, 0.169, 0.292).

The formation energy from the elements comes out at -0.295 eV/atom.

---

Re3Cl: relaxed, PBE-GGA.

It has space group P6_3/mmc (No. 194), with a = 6.5298 Å, b = 6.5298 Å, c = 7.6237 Å, α = 90.00°, β = 90.00° and γ = 120.00°. The distinct sites, in fractional coordinates, are Re at (0.0000, 0.5000, 0.0000), Re at (0.1980, 0.3961, 0.2500), Cl at (0.0000, 0.0000, 0.0000) and Cl at (0.3333, 0.6667, 0.7500).

The energy relative to the elements, uncorrected is 1.432 eV per atom.

---

RbBaAgO2: relaxed, PBE-GGA.

It has space group Cmme (No. 67), with a = 7.815 Å, b = 14.019 Å, c = 6.138 Å, α = 90.00°, β = 90.00° and γ = 90.00°. The distinct sites, in fractional coordinates, are Rb at (0.000, 0.250, 0.090), Ba at (0.250, 0.000, 0.500), Ag at (0.000, 0.000, 0.000) and O at (0.000, 0.080, 0.283).

The energy relative to the elements, uncorrected is -1.330 eV per atom.

---

VGa2Pb4: relaxed, PBE-GGA.

It has space group I4/mmm (No. 139), with a = 5.348 Å, b = 5.348 Å, c = 14.677 Å, α = 90.00°, β = 90.00° and γ = 90.00°. The distinct sites, in fractional coordinates, are V at (0.000, 0.000, 0.000), Ga at (0.000, 0.000, 0.381), Pb at (0.000, 0.000, 0.186) and Pb at (0.000, 0.500, 0.000).

The formation energy from the elements comes out at 0.416 eV/atom.

---

CuHgTeN2: relaxed, PBE-GGA.

It has space group P4/mmm (No. 123), with a = 4.032 Å, b = 4.032 Å, c = 5.759 Å, α = 90.00°, β = 90.00° and γ = 90.00°. The distinct sites, in fractional coordinates, are Cu at (0.000, 0.000, 0.000), Hg at (0.500, 0.500, 0.500), Te at (0.000, 0.000, 0.500) and N at (0.000, 0.500, 0.000).

The energy relative to the elements, uncorrected is 1.465 eV per atom.

---

CdHg: relaxed, PBE-GGA.

It has space group Cmcm (No. 63), with a = 3.701 Å, b = 11.455 Å, c = 4.728 Å, α = 90.00°, β = 90.00° and γ = 90.00°. The distinct sites, in fractional coordinates, are Cd at (0.000, 0.089, 0.250) and Hg at (0.000, 0.351, 0.250).

The formation energy from the elements comes out at 0.027 eV/atom.